(1)
! HgRhN | Alexandria | PBE | relaxed; values from VASP
&SYSTEM
  ibrav = 0, nat = 6, ntyp = 3
/
ATOMIC_SPECIES
Hg 200.59 Hg.upf
Rh 102.91 Rh.upf
N 14.01 N.upf
ATOMIC_POSITIONS angstrom
Hg 1.191 0.000 1.200
Hg 8.935 0.000 4.433
Rh 0.176 0.000 3.941
Rh 9.950 0.000 1.692
N 3.574 0.000 1.508
N 6.552 0.000 4.125
CELL_PARAMETERS angstrom
5.728 -1.733 0.000
5.728 1.733 0.000
-1.330 0.000 5.633
! Formation energy from raw total energies ... 0.647 eV/atom
! Density ... 9.4 g/cm³
! DFT total energy ... -4.679 eV/atom
! Symmetry ... C2/m
! M_tot ... 0.0 μB/cell

---

(2)
! Tb2Pr2Er3 | Alexandria | PBE | relaxed; values from VASP
&SYSTEM
  ibrav = 0, nat = 14, ntyp = 3
/
ATOMIC_SPECIES
Tb 158.93 Tb.upf
Pr 140.91 Pr.upf
Er 167.26 Er.upf
ATOMIC_POSITIONS angstrom
Tb 4.483 0.395 -0.395
Tb 0.395 0.395 0.395
Tb 0.395 -0.395 4.483
Tb -0.395 4.483 0.395
Pr 6.416 -1.538 1.538
Pr 1.538 6.416 -1.538
Pr 3.340 3.340 3.340
Pr -1.538 1.538 6.416
Er 7.317 1.929 0.000
Er 2.950 0.000 2.439
Er 2.439 2.950 0.000
Er 0.000 2.439 2.950
Er 1.929 0.000 7.317
Er 0.000 7.317 1.929
CELL_PARAMETERS angstrom
-4.878 4.878 4.878
4.878 -4.878 4.878
4.878 4.878 -4.878
! Density ... 7.9 g/cm³
! Formation energy from the elements ... 145.9 kJ/mol of formula units
! DFT total energy ... -4.428 eV/atom
! Symmetry ... I2_13
! Energy above the lowest structure with this stoichiometry ... 0.195 eV/atom
! M_tot ... 0.0 μB/cell

---

(3)
! SrPrNpN4 | Alexandria | PBE | relaxed; values from VASP
&SYSTEM
  ibrav = 0, nat = 7, ntyp = 4
/
ATOMIC_SPECIES
Sr 87.62 Sr.upf
Pr 140.91 Pr.upf
Np 237.00 Np.upf
N 14.01 N.upf
ATOMIC_POSITIONS angstrom
Sr 0.000 0.000 0.000
Pr 0.000 0.000 3.761
Np 0.000 0.000 8.265
N 2.108 0.000 2.008
N 0.000 0.000 6.196
N 0.000 2.108 2.008
N 0.000 0.000 10.316
CELL_PARAMETERS angstrom
-2.108 2.108 6.394
2.108 -2.108 6.394
2.108 2.108 -6.394
! Formation energy from raw total energies ... -1.028 eV/atom
! Density ... 7.6 g/cm³
! DFT total energy ... -8.557 eV/atom
! Symmetry ... I4mm
! M_tot ... 0.0 μB/cell

---

(4)
! Ac2BiRu | Alexandria | PBE | relaxed; values from VASP
&SYSTEM
  ibrav = 0, nat = 4, ntyp = 3
/
ATOMIC_SPECIES
Ac 227.00 Ac.upf
Bi 208.98 Bi.upf
Ru 101.07 Ru.upf
ATOMIC_POSITIONS angstrom
Ac 0.000 0.000 1.830
Ac 0.000 0.000 7.169
Bi 1.844 1.844 4.500
Ru 1.844 1.844 0.000
CELL_PARAMETERS angstrom
3.688 0.000 0.000
0.000 3.688 0.000
0.000 0.000 8.999
! Density ... 10.4 g/cm³
! Formation energy from the elements ... -126.8 kJ/mol of formula units
! DFT total energy ... -5.672 eV/atom
! Symmetry ... P4/mmm
! Energy above the lowest structure with this stoichiometry ... 0.000 eV/atom
! M_tot ... 0.0 μB/cell

---

(5)
! KHgAsBr2 | Alexandria | PBE | relaxed; values from VASP
&SYSTEM
  ibrav = 0, nat = 5, ntyp = 4
/
ATOMIC_SPECIES
K 39.10 K.upf
Hg 200.59 Hg.upf
As 74.92 As.upf
Br 79.90 Br.upf
ATOMIC_POSITIONS angstrom
K 0.000 0.000 0.000
Hg 2.988 2.988 2.603
As 2.988 2.988 0.000
Br 0.000 2.988 2.603
Br 2.988 0.000 2.603
CELL_PARAMETERS angstrom
5.975 0.000 0.000
0.000 5.975 0.000
0.000 0.000 5.205
! Formation energy from raw total energies ... -0.352 eV/atom
! Density ... 4.2 g/cm³
! DFT total energy ... -2.231 eV/atom
! Symmetry ... P4/mmm
! Energy above the lowest structure with this stoichiometry ... 0.000 eV/atom
! M_tot ... 2.0 μB/cell

---

(6)
! Ni2IrAu | Alexandria | PBE | relaxed; values from VASP
&SYSTEM
  ibrav = 0, nat = 4, ntyp = 3
/
ATOMIC_SPECIES
Ni 58.69 Ni.upf
Ir 192.22 Ir.upf
Au 196.97 Au.upf
ATOMIC_POSITIONS angstrom
Ni 0.000 0.000 1.697
Ni 0.000 0.000 5.595
Ir 1.367 1.367 0.000
Au 1.367 1.367 3.646
CELL_PARAMETERS angstrom
2.734 0.000 0.000
0.000 2.734 0.000
0.000 0.000 7.293
! Density ... 15.4 g/cm³
! Formation energy from the elements ... 27.4 kJ/mol of formula units
! DFT total energy ... -5.854 eV/atom
! Symmetry ... P4/mmm
! Energy above the lowest structure with this stoichiometry ... 0.000 eV/atom
! M_tot ... 0.3 μB/cell

---

(7)
! Re2Ir3 | Alexandria | PBE | relaxed; values from VASP
&SYSTEM
  ibrav = 0, nat = 10, ntyp = 2
/
ATOMIC_SPECIES
Re 186.21 Re.upf
Ir 192.22 Ir.upf
ATOMIC_POSITIONS angstrom
Re 2.594 0.621 1.193
Re 4.925 2.727 2.386
Re 2.068 6.075 1.193
Re 4.398 10.665 2.386
Ir 4.662 6.696 0.185
Ir 2.331 3.348 1.378
Ir 4.324 5.332 2.478
Ir 4.999 8.061 2.478
Ir 7.329 8.680 3.671
Ir 6.655 11.409 3.671
CELL_PARAMETERS angstrom
0.000 6.696 2.386
4.662 0.000 2.386
4.662 6.696 0.000
! Density ... 21.2 g/cm³
! Formation energy from the elements ... 9.8 kJ/mol of formula units
! DFT total energy ... -10.276 eV/atom
! Symmetry ... Fdd2
! Energy above the lowest structure with this stoichiometry ... 0.000 eV/atom
! M_tot ... 0.0 μB/cell

---

(8)
! CaLa2Th | Alexandria | PBE | relaxed; values from VASP
&SYSTEM
  ibrav = 0, nat = 4, ntyp = 3
/
ATOMIC_SPECIES
Ca 40.08 Ca.upf
La 138.91 La.upf
Th 232.04 Th.upf
ATOMIC_POSITIONS angstrom
Ca 0.000 0.000 0.000
La 0.000 0.000 21.496
La 0.000 0.000 28.204
Th 0.000 0.000 6.197
CELL_PARAMETERS angstrom
1.845 1.065 12.434
-1.845 1.065 12.434
0.000 -2.130 12.434
! Density ... 6.2 g/cm³
! Formation energy from the elements ... 11.1 kJ/mol of formula units
! DFT total energy ... -4.790 eV/atom
! Symmetry ... R3m
! Energy above the lowest structure with this stoichiometry ... 0.010 eV/atom
! M_tot ... 0.0 μB/cell

---

(9)
! SrY3Ru | Alexandria | PBE | relaxed; values from VASP
&SYSTEM
  ibrav = 0, nat = 10, ntyp = 3
/
ATOMIC_SPECIES
Sr 87.62 Sr.upf
Y 88.91 Y.upf
Ru 101.07 Ru.upf
ATOMIC_POSITIONS angstrom
Sr 3.888 4.493 4.658
Sr 3.888 -4.493 1.553
Y 1.929 1.131 4.658
Y 1.929 -1.131 1.553
Y 3.888 2.261 1.553
Y 3.888 -2.261 4.658
Y 5.846 1.131 4.658
Y 5.846 -1.131 1.553
Ru 3.888 0.000 0.000
Ru 3.888 0.000 3.106
CELL_PARAMETERS angstrom
3.888 -6.732 0.000
3.888 6.732 0.000
0.000 0.000 6.211
! Density ... 4.7 g/cm³
! Formation energy from the elements ... -85.2 kJ/mol of formula units
! DFT total energy ... -6.247 eV/atom
! Symmetry ... Cmcm
! Energy above the lowest structure with this stoichiometry ... 0.000 eV/atom
! M_tot ... 1.8 μB/cell

---

(10)
! Pr2Y4HoEr2 | Alexandria | PBE | relaxed; values from VASP
&SYSTEM
  ibrav = 0, nat = 9, ntyp = 4
/
ATOMIC_SPECIES
Pr 140.91 Pr.upf
Y 88.91 Y.upf
Ho 164.93 Ho.upf
Er 167.26 Er.upf
ATOMIC_POSITIONS angstrom
Pr 3.178 2.023 2.798
Pr 8.316 4.301 5.353
Y 3.157 0.980 6.217
Y 5.526 3.709 7.228
Y 5.968 2.615 0.922
Y 8.337 5.344 1.933
Ho 2.998 0.000 0.000
Er 5.261 4.746 3.626
Er 6.233 1.579 4.525
CELL_PARAMETERS angstrom
5.997 0.000 0.000
2.675 6.046 0.000
2.822 0.278 8.151
! Density ... 6.4 g/cm³
! Formation energy from the elements ... 73.7 kJ/mol of formula units
! DFT total energy ... -5.373 eV/atom
! Symmetry ... P-1
! M_tot ... 0.0 μB/cell

---

(11)
! Sm3TeH | Alexandria | PBE | relaxed; values from VASP
&SYSTEM
  ibrav = 0, nat = 20, ntyp = 3
/
ATOMIC_SPECIES
Sm 150.36 Sm.upf
Te 127.60 Te.upf
H 1.01 H.upf
ATOMIC_POSITIONS angstrom
Sm 3.809 5.296 6.011
Sm 4.269 2.827 2.625
Sm 6.744 5.296 3.205
Sm 3.677 0.812 5.430
Sm 7.178 2.827 0.448
Sm 4.124 -0.812 2.358
Sm 6.877 0.812 3.786
Sm 3.822 -2.827 5.697
Sm 7.323 -0.812 0.714
Sm 4.256 -5.296 2.939
Sm 6.731 -2.827 3.520
Sm 7.191 -5.296 0.133
Te 1.458 1.267 3.220
Te 1.904 -1.267 0.148
Te 9.096 1.267 5.997
Te 9.543 -1.267 2.924
H 5.277 2.161 4.608
H 5.723 0.988 1.536
H 5.277 -0.988 4.608
H 5.723 -2.161 1.536
CELL_PARAMETERS angstrom
5.947 -7.144 0.000
5.947 7.144 0.000
-0.893 0.000 6.144
! Density ... 7.4 g/cm³
! DFT total energy ... -4.769 eV/atom
! Symmetry ... C2/c
! Energy above the lowest structure with this stoichiometry ... 0.000 eV/atom
! M_tot ... 0.0 μB/cell

---

(12)
! Zn2InSi | Alexandria | PBE | relaxed; values from VASP
&SYSTEM
  ibrav = 0, nat = 4, ntyp = 3
/
ATOMIC_SPECIES
Zn 65.41 Zn.upf
In 114.82 In.upf
Si 28.09 Si.upf
ATOMIC_POSITIONS angstrom
Zn 0.000 0.000 0.000
Zn 0.000 0.000 6.177
In 0.000 0.000 18.278
Si 0.000 0.000 12.427
CELL_PARAMETERS angstrom
1.650 0.952 8.017
-1.650 0.952 8.017
0.000 -1.905 8.017
! Formation energy from raw total energies ... 0.255 eV/atom
! Density ... 6.0 g/cm³
! DFT total energy ... -2.423 eV/atom
! Symmetry ... R3m
! Energy above the lowest structure with this stoichiometry ... 0.043 eV/atom
! M_tot ... 0.0 μB/cell